Arrangement P

MoC3 after structural relaxation, computed with PBE.

abc: 4.4659 4.4659 4.3742
angles: 90.00 90.00 120.00
With the nearest neighbours (Å) after each atom.
Sites, in units of the cell vectors:
Mo: 0.3333 0.6667 0.2500  12 C 2.27-2.36
Mo: 0.6667 0.3333 0.7500  12 C 2.27-2.36
C: 0.7797 0.5594 0.2500  2 C 1.51
C: 0.4406 0.2203 0.2500  2 C 1.51
C: 0.7797 0.2203 0.2500  2 C 1.51
C: 0.2203 0.4406 0.7500  2 C 1.51
C: 0.5594 0.7797 0.7500  2 C 1.51
C: 0.2203 0.7797 0.7500  2 C 1.51

Results
As for the space group: P6_3/mmc.



Arrangement Q

MoC3 after structural relaxation, computed with PBE.

abc: 3.9189 3.9189 3.9189
angles: 113.69 113.69 113.69
With the nearest neighbours (Å) after each atom.
Sites, in units of the cell vectors:
Mo: 0.0000 0.5000 0.5000  6 C 2.14
C: 0.0000 0.0000 0.0000  4 C 2.14, 2 Mo 2.14
C: 0.5000 0.0000 0.5000  4 C 2.14, 2 Mo 2.14
C: 0.5000 0.5000 0.0000  2 Mo 2.14, 4 C 2.14

Results
As for the space group: R-3m.



List of relative energies, unit meV/atom: arrangement P 0; arrangement Q 826



Arrangement P

MoC3 after structural relaxation, computed with PBE.

abc: 4.2836 4.2836 4.1218
angles: 124.57 124.57 36.60
With the nearest neighbours (Å) after each atom.
Sites, in units of the cell vectors:
Mo: 0.0000 0.0000 0.0000  10 C 2.28-2.46
C: 0.5000 0.5000 0.5000  2 C 1.41
C: 0.3112 0.3112 0.1088  1 C 1.41
C: 0.6888 0.6888 0.8912  1 C 1.41

Results
As for the space group: C2/m.



Arrangement Q

MoC3 after structural relaxation, computed with PBE.

abc: 2.6781 5.0670 3.1881
angles: 90.00 90.00 90.00
With the nearest neighbours (Å) after each atom.
Sites, in units of the cell vectors:
Mo: 0.0000 0.5000 0.0421  4 C 2.08
C: 0.0000 0.0000 0.0415  2 C 1.34
C: 0.5000 0.0000 0.0411  2 C 1.34
C: 0.5000 0.5000 0.5420  4 Mo 2.08

Results
As for the space group: Pmmm.



Arrangement R

MoC3 after structural relaxation, computed with PBE.

abc: 12.5168 12.5168 12.5168
angles: 167.48 167.48 17.75
With the nearest neighbours (Å) after each atom.
Sites, in units of the cell vectors:
Mo: 0.6794 0.6794 0.0000  8 C 2.10-2.22
Mo: 0.3206 0.3206 0.0000  8 C 2.10-2.22
C: 0.0000 0.5000 0.5000  4 C 1.93
C: 0.5000 0.0000 0.5000  4 C 1.93
C: 0.7500 0.2500 0.5000  4 C 1.93
C: 0.2500 0.7500 0.5000  4 C 1.93
C: 0.8539 0.8539 0.0000  4 Mo 2.10
C: 0.1461 0.1461 0.0000  4 Mo 2.10

Results
As for the space group: I4/mmm.



List of relative energies, unit meV/atom: arrangement P 18; arrangement Q 0; arrangement R 681



Arrangement P

Mo3C after structural relaxation, computed with PBE.

abc: 4.7187 4.7187 4.7187
angles: 143.99 117.67 74.13
With the nearest neighbours (Å) after each atom.
Sites, in units of the cell vectors:
Mo: 0.6125 0.5000 0.1125  2 C 2.17
Mo: 0.9572 0.3169 0.6403  2 C 2.23
Mo: 0.3234 0.6831 0.6403  2 C 2.23
C: 0.9402 0.0000 0.9402  6 Mo 2.17-2.23

Results
As for the space group: Imm2.



Arrangement Q

Mo3C after structural relaxation, computed with PBE.

abc: 4.9870 5.5909 7.4749
angles: 90.00 90.00 90.00
With the nearest neighbours (Å) after each atom.
Sites, in units of the cell vectors:
Mo: 0.1672 0.0352 0.7500  2 C 2.17-2.23
Mo: 0.6672 0.4648 0.2500  2 C 2.17-2.23
Mo: 0.3328 0.5352 0.7500  2 C 2.17-2.23
Mo: 0.8328 0.9648 0.2500  2 C 2.17-2.23
Mo: 0.6667 0.1799 0.9322  2 C 2.20-2.24
Mo: 0.1667 0.3201 0.0678  2 C 2.20-2.24
Mo: 0.8333 0.6799 0.5678  2 C 2.20-2.24
Mo: 0.3333 0.8201 0.4322  2 C 2.20-2.24
Mo: 0.3333 0.8201 0.0678  2 C 2.20-2.24
Mo: 0.8333 0.6799 0.9322  2 C 2.20-2.24
Mo: 0.1667 0.3201 0.4322  2 C 2.20-2.24
Mo: 0.6667 0.1799 0.5678  2 C 2.20-2.24
C: 0.5647 0.8759 0.7500  6 Mo 2.17-2.24
C: 0.0647 0.6241 0.2500  6 Mo 2.17-2.24
C: 0.9353 0.3759 0.7500  6 Mo 2.17-2.24
C: 0.4353 0.1241 0.2500  6 Mo 2.17-2.24

Results
As for the space group: Pnma.



List of relative energies, unit meV/atom: arrangement P 200; arrangement Q 0



Arrangement P

Mo3C after structural relaxation, computed with PBE.

abc: 9.3828 9.3828 9.3828
angles: 158.44 158.44 30.67
With the nearest neighbours (Å) after each atom.
Sites, in units of the cell vectors:
Mo: 0.0000 0.5000 0.5000  4 C 2.35, 4 Mo 2.48
Mo: 0.5000 0.0000 0.5000  4 C 2.35, 4 Mo 2.48
Mo: 0.7500 0.2500 0.5000  4 Mo 2.48
Mo: 0.2500 0.7500 0.5000  4 Mo 2.48
Mo: 0.8760 0.8760 0.0000  4 C 2.57, 8 Mo 2.85-2.88
Mo: 0.1240 0.1240 0.0000  4 C 2.57, 8 Mo 2.85-2.88
C: 0.5864 0.5864 0.0000  8 Mo 2.35-2.57
C: 0.4136 0.4136 0.0000  8 Mo 2.35-2.57

Results
As for the space group: I4/mmm.



Arrangement Q

Mo3C after structural relaxation, computed with PBE.

abc: 6.1412 6.1412 2.9461
angles: 90.00 90.00 105.17
With the nearest neighbours (Å) after each atom.
Sites, in units of the cell vectors:
Mo: 0.1159 0.8841 0.7500  2 C 2.19
Mo: 0.8841 0.1159 0.2500  2 C 2.19
Mo: 0.1895 0.4372 0.7500  2 C 2.23
Mo: 0.8105 0.5628 0.2500  2 C 2.23
Mo: 0.5628 0.8105 0.7500  2 C 2.23
Mo: 0.4372 0.1895 0.2500  2 C 2.23
C: 0.2820 0.7180 0.2500  6 Mo 2.19-2.23
C: 0.7180 0.2820 0.7500  6 Mo 2.19-2.23

Results
As for the space group: Cmcm.



List of relative energies, unit meV/atom: arrangement P 592; arrangement Q 0



Arrangement P

Mo3C after structural relaxation, computed with PBE.

abc: 4.8999 4.8999 4.8999
angles: 116.52 116.52 116.52
With the nearest neighbours (Å) after each atom.
Sites, in units of the cell vectors:
Mo: 0.5000 0.0000 0.5000  2 C 2.58, 6 Mo 2.58-2.77
Mo: 0.5000 0.5000 0.0000  6 Mo 2.58-2.77, 2 C 2.58
Mo: 0.0000 0.5000 0.5000  6 Mo 2.58-2.77, 2 C 2.58
C: 0.0000 0.0000 0.0000  6 Mo 2.58, 2 C 2.77

Results
As for the space group: R-3m.



Arrangement Q

Mo3C after structural relaxation, computed with PBE.

abc: 2.7993 2.7993 7.4907
angles: 90.00 90.00 112.98
With the nearest neighbours (Å) after each atom.
Sites, in units of the cell vectors:
Mo: 0.5000 0.5000 0.8057  2 C 2.12
Mo: 0.0000 0.0000 0.5000  10 Mo 2.76-3.09
Mo: 0.5000 0.5000 0.1943  2 C 2.12
C: 0.0000 0.0000 0.0000  4 Mo 2.12

Results
As for the space group: Cmmm.



Arrangement R

Mo3C after structural relaxation, computed with PBE.

abc: 7.1510 7.1510 7.1510
angles: 24.28 24.28 24.28
With the nearest neighbours (Å) after each atom.
Sites, in units of the cell vectors:
Mo: 0.7249 0.7249 0.7249  3 C 2.12
Mo: 0.5000 0.5000 0.5000  12 Mo 2.85-3.01
Mo: 0.2751 0.2751 0.2751  3 C 2.12
C: 0.0000 0.0000 0.0000  6 Mo 2.12

Results
As for the space group: R-3m.



Arrangement S

Mo3C after structural relaxation, computed with PBE.

abc: 5.1577 5.1577 9.3328
angles: 90.00 90.00 120.00
With the nearest neighbours (Å) after each atom.
Sites, in units of the cell vectors:
Mo: 0.5000 0.0000 0.0000  8 Mo 2.58-2.77, 4 C 2.58-2.77
Mo: 0.5000 0.0000 0.5000  8 Mo 2.58-2.77, 4 C 2.58-2.77
Mo: 0.0000 0.5000 0.0000  4 C 2.58-2.77, 8 Mo 2.58-2.77
Mo: 0.5000 0.5000 0.0000  8 Mo 2.58-2.77, 4 C 2.58-2.77
Mo: 0.5000 0.5000 0.5000  8 Mo 2.58-2.77, 4 C 2.58-2.77
Mo: 0.0000 0.5000 0.5000  4 C 2.58-2.77, 8 Mo 2.58-2.77
Mo: 0.8360 0.6721 0.2500  8 Mo 2.54-2.77, 4 C 2.58-2.75
Mo: 0.1640 0.3279 0.7500  8 Mo 2.54-2.77, 4 C 2.58-2.75
Mo: 0.3279 0.1640 0.2500  8 Mo 2.54-2.77, 4 C 2.58-2.75
Mo: 0.8360 0.1640 0.2500  8 Mo 2.54-2.77, 4 C 2.58-2.75
Mo: 0.1640 0.8360 0.7500  8 Mo 2.54-2.77, 4 C 2.58-2.75
Mo: 0.6721 0.8360 0.7500  8 Mo 2.54-2.77, 4 C 2.58-2.75
C: 0.0000 0.0000 0.0000  12 Mo 2.58-2.75
C: 0.0000 0.0000 0.5000  12 Mo 2.58-2.75
C: 0.3333 0.6667 0.2500  12 Mo 2.58-2.77
C: 0.6667 0.3333 0.7500  12 Mo 2.58-2.77

Results
As for the space group: P6_3/mmc.



List of relative energies, unit meV/atom: arrangement P 1026; arrangement Q 284; arrangement R 0; arrangement S 911



Arrangement P

Mo3C after structural relaxation, computed with PBE.

abc: 4.1051 4.1051 4.1051
angles: 90.00 90.00 90.00
With the nearest neighbours (Å) after each atom.
Sites, in units of the cell vectors:
Mo: 0.5000 0.0000 0.0000  2 C 2.05
Mo: 0.0000 0.5000 0.0000  2 C 2.05
Mo: 0.0000 0.0000 0.5000  2 C 2.05
C: 0.0000 0.0000 0.0000  6 Mo 2.05

Results
As for the space group: Pm-3m.



Arrangement Q

Mo3C after structural relaxation, computed with PBE.

abc: 5.1189 5.1189 5.1189
angles: 140.30 140.30 57.40
With the nearest neighbours (Å) after each atom.
Sites, in units of the cell vectors:
Mo: 0.2500 0.7500 0.5000  4 Mo 2.46
Mo: 0.5000 0.5000 0.0000  4 C 2.46
Mo: 0.7500 0.2500 0.5000  4 Mo 2.46
C: 0.0000 0.0000 0.0000  4 Mo 2.46

Results
As for the space group: I4/mmm.



Arrangement R

Mo3C after structural relaxation, computed with PBE.

abc: 4.2806 4.8569 5.7780
angles: 90.00 90.00 90.00
With the nearest neighbours (Å) after each atom.
Sites, in units of the cell vectors:
Mo: 0.5000 0.0000 0.4590  2 C 2.15
Mo: 0.0000 0.5000 0.5410  2 C 2.15
Mo: 0.0000 0.7479 0.1185  1 C 2.19, 2 Mo 2.41-2.45
Mo: 0.0000 0.2521 0.1185  1 C 2.19, 2 Mo 2.41-2.45
Mo: 0.5000 0.2479 0.8815  1 C 2.19, 2 Mo 2.41-2.45
Mo: 0.5000 0.7521 0.8815  1 C 2.19, 2 Mo 2.41-2.45
C: 0.0000 0.0000 0.4334  4 Mo 2.15-2.19
C: 0.5000 0.5000 0.5666  4 Mo 2.15-2.19

Results
As for the space group: Pmmn.



List of relative energies, unit meV/atom: arrangement P 206; arrangement Q 178; arrangement R 0



Arrangement P

Mo3C after structural relaxation, computed with PBE.

abc: 4.7397 4.7397 4.7397
angles: 90.00 90.00 90.00
With the nearest neighbours (Å) after each atom.
Sites, in units of the cell vectors:
Mo: 0.7500 0.5000 0.0000  2 Mo 2.37, 4 C 2.65
Mo: 0.2500 0.5000 0.0000  2 Mo 2.37, 4 C 2.65
Mo: 0.0000 0.7500 0.5000  2 Mo 2.37, 4 C 2.65
Mo: 0.0000 0.2500 0.5000  2 Mo 2.37, 4 C 2.65
Mo: 0.5000 0.0000 0.2500  2 Mo 2.37, 4 C 2.65
Mo: 0.5000 0.0000 0.7500  2 Mo 2.37, 4 C 2.65
C: 0.0000 0.0000 0.0000  12 Mo 2.65
C: 0.5000 0.5000 0.5000  12 Mo 2.65

Results
As for the space group: Pm-3n.



Arrangement Q

Mo3C after structural relaxation, computed with PBE.

abc: 4.2561 4.2561 4.2561
angles: 60.00 60.00 60.00
With the nearest neighbours (Å) after each atom.
Sites, in units of the cell vectors:
Mo: 0.2500 0.2500 0.2500  4 C 2.61, 4 Mo 2.61
Mo: 0.5000 0.5000 0.5000  8 Mo 2.61
Mo: 0.7500 0.7500 0.7500  4 Mo 2.61, 4 C 2.61
C: 0.0000 0.0000 0.0000  8 Mo 2.61

Results
As for the space group: Fm-3m.



List of relative energies, unit meV/atom: arrangement P 0; arrangement Q 324



Arrangement P

Mo3C after structural relaxation, computed with PBE.

abc: 2.7093 2.7093 7.2555
angles: 90.00 90.00 90.00
With the nearest neighbours (Å) after each atom.
Sites, in units of the cell vectors:
Mo: 0.5000 0.5000 0.1788  4 C 2.31
Mo: 0.0000 0.0000 0.5000  12 Mo 2.71-3.02
Mo: 0.5000 0.5000 0.8212  4 C 2.31
C: 0.0000 0.0000 0.0000  8 Mo 2.31

Results
As for the space group: P4/mmm.



Arrangement Q

Mo3C after structural relaxation, computed with PBE.

abc: 3.0310 3.0993 6.1100
angles: 75.27 90.00 90.00
With the nearest neighbours (Å) after each atom.
Sites, in units of the cell vectors:
Mo: 0.5000 0.8751 0.7878  2 C 2.09
Mo: 0.0000 0.5000 0.5000  10 Mo 2.72-3.03
Mo: 0.5000 0.1249 0.2122  2 C 2.09
C: 0.0000 0.0000 0.0000  4 Mo 2.09

Results
As for the space group: P2/m.



Arrangement R

Mo3C after structural relaxation, computed with PBE.

abc: 5.2032 5.2032 4.5469
angles: 90.00 90.00 120.00
With the nearest neighbours (Å) after each atom.
Sites, in units of the cell vectors:
Mo: 0.8314 0.6627 0.2500  8 Mo 2.57-2.73, 4 C 2.60-2.72
Mo: 0.3373 0.1686 0.2500  8 Mo 2.57-2.73, 4 C 2.60-2.72
Mo: 0.8314 0.1686 0.2500  8 Mo 2.57-2.73, 4 C 2.60-2.72
Mo: 0.1686 0.3373 0.7500  8 Mo 2.57-2.73, 4 C 2.60-2.72
Mo: 0.6627 0.8314 0.7500  8 Mo 2.57-2.73, 4 C 2.60-2.72
Mo: 0.1686 0.8314 0.7500  8 Mo 2.57-2.73, 4 C 2.60-2.72
C: 0.3333 0.6667 0.2500  12 Mo 2.60-2.72
C: 0.6667 0.3333 0.7500  12 Mo 2.60-2.72

Results
As for the space group: P6_3/mmc.



Arrangement S

Mo3C after structural relaxation, computed with PBE.

abc: 2.8532 2.8532 7.6909
angles: 90.00 90.00 120.00
With the nearest neighbours (Å) after each atom.
Sites, in units of the cell vectors:
Mo: 0.0000 0.0000 0.5000  12 Mo 2.85-2.93
Mo: 0.6667 0.3333 0.1846  3 C 2.17
Mo: 0.6667 0.3333 0.8154  3 C 2.17
C: 0.0000 0.0000 0.0000  6 Mo 2.17

Results
As for the space group: P-6m2.



List of relative energies, unit meV/atom: arrangement P 209; arrangement Q 103; arrangement R 683; arrangement S 0



Arrangement P

Mo3C after structural relaxation, computed with PBE.

abc: 4.2422 4.2422 3.1188
angles: 90.00 90.00 104.65
With the nearest neighbours (Å) after each atom.
Sites, in units of the cell vectors:
Mo: 0.0000 0.5000 0.5000  6 Mo 2.59-2.63, 4 C 2.63
Mo: 0.5000 0.0000 0.5000  6 Mo 2.59-2.63, 4 C 2.63
Mo: 0.5000 0.5000 0.0000  2 C 2.59, 8 Mo 2.63
C: 0.0000 0.0000 0.0000  10 Mo 2.59-2.63

Results
As for the space group: Cmmm.



Arrangement Q

Mo3C after structural relaxation, computed with PBE.

abc: 3.0014 4.1490 4.5110
angles: 90.00 90.00 90.00
With the nearest neighbours (Å) after each atom.
Sites, in units of the cell vectors:
Mo: 0.5000 0.0000 0.5409  2 C 2.18
Mo: 0.5000 0.5000 0.8882  4 Mo 2.56-2.60, 4 C 2.56
Mo: 0.0000 0.5000 0.3472  6 Mo 2.56-2.71
C: 0.0000 0.0000 0.8903  2 Mo 2.18

Results
As for the space group: Pmm2.



List of relative energies, unit meV/atom: arrangement P 117; arrangement Q 0